Entry 1:
A relaxed RbZrTeI2 crystal, computed with PBE.

Computed properties:
The crystal system is tetragonal.

```
data_RbZrTeI2
_cell_length_a 6.3295
_cell_length_b 6.3295
_cell_length_c 6.3623
_cell_angle_alpha 90.00
_cell_angle_beta 90.00
_cell_angle_gamma 90.00
_space_group_name_H-M_alt 'P 1'
_space_group_IT_number 1
_space_group_name_Hall 'P 1'
loop_
_atom_site_label
_atom_site_type_symbol
_atom_site_fract_x
_atom_site_fract_y
_atom_site_fract_z
Rb1 Rb 0.0000 0.0000 0.0000
Zr1 Zr 0.5000 0.5000 0.5000
Te1 Te 0.0000 0.0000 0.5000
I1 I 0.0000 0.5000 0.0000
I2 I 0.5000 0.0000 0.0000
```


Entry 2:
A relaxed SbAs2Br crystal, computed with PBE.

Computed properties:
The crystal system is monoclinic.

```
data_SbAs2Br
_cell_length_a 5.0861
_cell_length_b 5.0861
_cell_length_c 5.0650
_cell_angle_alpha 109.51
_cell_angle_beta 109.51
_cell_angle_gamma 109.30
_space_group_name_H-M_alt 'P 1'
_space_group_IT_number 1
_space_group_name_Hall 'P 1'
loop_
_atom_site_label
_atom_site_type_symbol
_atom_site_fract_x
_atom_site_fract_y
_atom_site_fract_z
Sb1 Sb 0.0000 0.0000 0.0000
As1 As 0.0000 0.5000 0.5000
As2 As 0.5000 0.0000 0.5000
Br1 Br 0.5000 0.5000 0.0000
```


Going through the records in order, we get ΔE_f (raw) values of 0.72, 0.29 eV/atom.
Going through the records in order, we get total DFT energy (no corrections) values of -2.433, -3.483 eV per atom.